The following is a SCAN calculation of a crystal of LiInCo2Ru relaxed with PBEsol, from Alexandria via LeMat-Bulk.

Cell: 4.570 4.570 4.249 Å, 90.00 90.00 90.00°
Sites, in units of the cell vectors:
1 Li 0.000 0.000 0.000
2 In 0.000 0.000 0.500
3 Co 0.000 0.500 0.500
4 Co 0.500 0.000 0.500
5 Ru 0.500 0.500 0.000

energy of formation: 1458 meV/atom
space-group type: No. 123
DOS(E_F): 0.379 states/eV per atom